1.
A plane-wave DFT calculation with PBE-GGA was carried out for crystalline In2CoBr at its relaxed geometry.

Output
* DOS(E_F): 1.30 states/eV/atom
* magnetization: 2.0 μB/f.u.
* E above lowest polymorph: 442 meV/atom
* E: -12.466 eV per cell
* formation energy (no corrections): 0.45 eV per atom

abc: 3.3053 5.7534 5.0036
angles: 90.00 90.00 90.00
Sites, in units of the cell vectors:
1 In 0.5000 0.5000 0.0000
2 In 0.0000 0.0000 0.0000
3 Co 0.0000 0.5000 0.5000
4 Br 0.5000 0.0000 0.5000

---

2.
A plane-wave DFT calculation with PBE-GGA was carried out for crystalline InCoBr2 at its relaxed geometry.

Output
* DOS(E_F): 1.71 states/eV/atom
* magnetization: 2.1 μB/f.u.
* E above lowest polymorph: 494 meV/atom
* E: -11.919 eV per cell
* formation energy (no corrections): 0.32 eV per atom

abc: 7.1197 7.1197 7.1197
angles: 146.24 146.24 48.49
Sites, in units of the cell vectors:
1 Co 0.5000 0.5000 0.0000
2 Br 0.0000 0.0000 0.0000
3 In 0.7500 0.2500 0.5000
4 Br 0.2500 0.7500 0.5000

---

no.,calculated density (g cm⁻³)
1,6.43
2,4.99